Below is a relaxed structure of La3NdF, with properties calculated at the PBE level.

Computed properties:
Uncorrected formation energy = -5.12 eV/f.u.

a b c (Å): 5.293 5.293 5.293
angles (deg): 90.00 90.00 90.00
Positions (direct):
F 0.000 0.000 0.000
Nd 0.500 0.500 0.500
La 0.000 0.500 0.000
La 0.000 0.000 0.500
La 0.500 0.000 0.000

***

Below is a relaxed structure of Ca2LaOs, with properties calculated at the PBE level.

Computed properties:
Relative energy among the computed polymorphs = 0.217 eV per atom
Formation enthalpy at 0 K = 0.331 eV/atom

a b c (Å): 10.234 10.234 7.727
angles (deg): 48.53 48.53 90.00
Positions (direct):
Ca 0.754 0.125 0.250
Ca 0.996 0.625 0.250
Ca 0.375 0.246 0.750
Ca 0.875 0.004 0.750
Os 0.000 0.000 0.000
Os 0.750 0.250 0.500
La 0.500 0.500 0.000
La 0.250 0.750 0.500

***

Below is a relaxed structure of CuPbSe2, with properties calculated at the PBE level.

Computed properties:
Uncorrected formation energy = -1.02 eV/f.u.

a b c (Å): 4.062 4.062 8.122
angles (deg): 120.23 120.22 72.09
Positions (direct):
Cu 0.450 0.653 0.728
Pb 0.277 0.826 0.228
Se 0.786 0.480 0.515
Se 0.623 0.316 0.941

***

Below is a relaxed structure of PrSmDy2Se6, with properties calculated at the PBE level.

Computed properties:
Uncorrected formation energy = -18.46 eV/f.u.

a b c (Å): 7.341 7.341 7.780
angles (deg): 61.85 61.85 60.00
Positions (direct):
Pr 0.812 0.812 0.565
Sm 0.315 0.315 0.055
Dy 0.515 0.515 0.456
Dy 0.013 0.013 0.962
Se 0.621 0.228 0.246
Se 0.228 0.905 0.246
Se 0.905 0.621 0.246
Se 0.395 0.728 0.746
Se 0.728 0.130 0.746
Se 0.130 0.395 0.747

***

Below is a relaxed structure of CaTl2AuC, with properties calculated at the PBE level.

Computed properties:
Formation enthalpy at 0 K = 0.443 eV/atom

a b c (Å): 4.868 4.968 4.868
angles (deg): 90.00 90.00 90.00
Positions (direct):
C 0.000 0.000 0.000
Tl 0.000 0.000 0.500
Tl 0.500 0.000 0.000
Au 0.500 0.500 0.500
Ca 0.000 0.500 0.000

***

Below is a relaxed structure of AuBrCl4, with properties calculated at the PBE level.

Computed properties:
Relative energy among the computed polymorphs = 0.782 eV per atom
Uncorrected formation energy = 5.12 eV/f.u.

a b c (Å): 5.803 5.803 5.803
angles (deg): 60.00 60.00 60.00
Site moments in Bohr magnetons follow the coordinates.
Positions (direct):
Au 0.750 0.750 0.750  -0.02
Br 0.000 0.000 0.000  -0.26
Cl 0.873 0.376 0.376  0.02
Cl 0.376 0.376 0.873  0.02
Cl 0.376 0.873 0.376  0.02
Cl 0.376 0.376 0.376  0.02

***

Below is a relaxed structure of La5Pr5Bi6, with properties calculated at the PBE level.

Computed properties:
Formation enthalpy at 0 K = -0.808 eV/atom

a b c (Å): 6.683 9.672 9.672
angles (deg): 120.06 90.00 90.00
Site moments in Bohr magnetons follow the coordinates.
Positions (direct):
La 0.750 0.334 0.666  0.17
La 0.750 0.666 0.334  0.17
La 0.250 0.666 0.334  0.17
La 0.250 0.334 0.666  0.17
La 0.000 0.248 0.248  0.03
Pr 0.000 0.750 0.000  0.02
Pr 0.000 0.000 0.750  0.02
Pr 0.500 0.753 0.753  0.02
Pr 0.500 0.249 0.999  0.02
Pr 0.500 0.999 0.249  0.02
Bi 0.000 0.617 0.617  -0.01
Bi 0.000 0.385 0.999  -0.01
Bi 0.000 0.999 0.385  -0.01
Bi 0.500 0.384 0.384  -0.01
Bi 0.500 0.615 0.000  -0.01
Bi 0.500 0.000 0.615  -0.01

***

Below is a relaxed structure of NaAcMg, with properties calculated at the PBE level.

Computed properties:
Relative energy among the computed polymorphs = 0.000 eV per atom
Formation enthalpy at 0 K = 0.103 eV/atom

a b c (Å): 3.777 3.777 18.266
angles (deg): 78.02 78.02 59.90
Positions (direct):
Na 0.483 0.483 0.242
Na 0.271 0.271 0.066
Ac 0.692 0.692 0.429
Ac 0.061 0.061 0.879
Mg 0.252 0.252 0.589
Mg 0.500 0.500 0.718

***

Below is a relaxed structure of AcLa4Pm6, with properties calculated at the PBE level.

Computed properties:
Relative energy among the computed polymorphs = 0.068 eV per atom
Formation enthalpy at 0 K = 0.359 eV/atom

a b c (Å): 8.002 8.002 8.684
angles (deg): 117.43 117.43 90.00
Positions (direct):
Ac 0.500 0.500 0.000
La 0.100 0.752 0.852
La 0.900 0.900 0.148
La 0.752 0.100 0.852
La 0.248 0.248 0.148
Pm 0.949 0.435 0.384
Pm 0.435 0.949 0.384
Pm 0.565 0.565 0.616
Pm 0.000 0.500 0.000
Pm 0.051 0.051 0.616
Pm 0.500 0.000 0.000

***

Below is a relaxed structure of CaYAg3, with properties calculated at the PBE level.

Computed properties:
Relative energy among the computed polymorphs = 0.000 eV per atom
Formation enthalpy at 0 K = 0.403 eV/atom

a b c (Å): 5.422 5.422 5.422
angles (deg): 90.00 90.00 90.00
Positions (direct):
Y 0.000 0.000 0.000
Ca 0.500 0.500 0.500
Ag 0.000 0.500 0.000
Ag 0.000 0.000 0.500
Ag 0.500 0.000 0.000

***

Below is a relaxed structure of LaErGaOs, with properties calculated at the PBE level.

Computed properties:
Formation enthalpy at 0 K = -0.259 eV/atom

a b c (Å): 5.035 5.035 5.035
angles (deg): 60.00 60.00 60.00
Positions (direct):
La 0.500 0.500 0.500
Os 0.750 0.750 0.750
Ga 0.250 0.250 0.250
Er 0.000 0.000 0.000

***

Below is a relaxed structure of TmMnTcGe2, with properties calculated at the PBE level.

Computed properties:
Formation enthalpy at 0 K = -0.453 eV/atom

a b c (Å): 4.012 4.012 6.117
angles (deg): 109.14 109.14 90.00
Site moments in Bohr magnetons follow the coordinates.
Positions (direct):
Tm 0.000 0.000 0.000  -0.11
Mn 0.250 0.750 0.500  2.85
Tc 0.750 0.250 0.500  0.23
Ge 0.616 0.616 0.232  -0.05
Ge 0.384 0.384 0.768  -0.05

***

Below is a relaxed structure of K2Na2NdF7, with properties calculated at the PBE level.

Computed properties:
Uncorrected formation energy = -38.39 eV/f.u.

a b c (Å): 11.164 11.164 11.164
angles (deg): 109.47 109.47 109.47
Positions (direct):
K 0.388 0.694 0.694
K 0.612 0.306 0.306
K 0.000 0.694 0.306
K 0.000 0.306 0.694
K 0.694 0.000 0.306
K 0.306 0.612 0.306
K 0.306 0.000 0.694
K 0.694 0.388 0.694
K 0.694 0.306 0.000
K 0.306 0.694 0.000
K 0.306 0.306 0.612
K 0.694 0.694 0.388
Na 0.761 0.000 0.000
Na 0.239 0.000 0.000
Na 0.000 0.761 0.000
Na 0.000 0.000 0.761
Na 0.000 0.239 0.000
Na 0.000 0.000 0.239
Na 0.239 0.239 0.239
Na 0.761 0.761 0.761
Na 0.500 0.000 0.000
Na 0.000 0.500 0.000
Na 0.000 0.000 0.500
Na 0.500 0.500 0.500
Nd 0.000 0.365 0.365
Nd 0.000 0.635 0.635
Nd 0.635 0.000 0.635
Nd 0.365 0.000 0.365
Nd 0.635 0.635 0.000
Nd 0.365 0.365 0.000
F 0.571 0.824 0.000
F 0.429 0.176 0.000
F 0.824 0.571 0.000
F 0.176 0.176 0.747
F 0.747 0.176 0.176
F 0.176 0.429 0.000
F 0.824 0.824 0.253
F 0.253 0.824 0.824
F 0.429 0.429 0.253
F 0.253 0.429 0.429
F 0.571 0.571 0.747
F 0.747 0.571 0.571
F 0.000 0.571 0.824
F 0.000 0.429 0.176
F 0.000 0.824 0.571
F 0.000 0.176 0.429
F 0.571 0.000 0.824
F 0.824 0.253 0.824
F 0.429 0.000 0.176
F 0.176 0.747 0.176
F 0.429 0.253 0.429
F 0.571 0.747 0.571
F 0.176 0.000 0.429
F 0.824 0.000 0.571
F 0.500 0.637 0.137
F 0.500 0.363 0.863
F 0.863 0.500 0.363
F 0.363 0.500 0.863
F 0.137 0.500 0.637
F 0.637 0.500 0.137
F 0.363 0.863 0.500
F 0.500 0.137 0.637
F 0.637 0.137 0.500
F 0.500 0.863 0.363
F 0.863 0.363 0.500
F 0.137 0.637 0.500
F 0.000 0.176 0.176
F 0.000 0.824 0.824
F 0.824 0.000 0.824
F 0.176 0.000 0.176
F 0.824 0.824 0.000
F 0.176 0.176 0.000

***

Below is a relaxed structure of MgNiPt2, with properties calculated at the PBE level.

Computed properties:
Formation enthalpy at 0 K = -0.284 eV/atom

a b c (Å): 2.792 2.792 7.569
angles (deg): 90.00 90.00 90.00
Site moments in Bohr magnetons follow the coordinates.
Positions (direct):
Mg 0.000 0.000 0.509  0.00
Ni 0.500 0.500 0.754  0.21
Pt 0.000 0.000 0.980  0.08
Pt 0.500 0.500 0.256  0.02

***

Below is a relaxed structure of TcTe2Pt, with properties calculated at the PBE level.

Computed properties:
Relative energy among the computed polymorphs = 0.609 eV per atom
Uncorrected formation energy = 1.92 eV/f.u.

a b c (Å): 5.585 5.585 5.585
angles (deg): 137.67 137.67 61.40
Positions (direct):
Pt 0.500 0.500 0.000
Tc 0.750 0.250 0.500
Te 0.000 0.000 0.000
Te 0.250 0.750 0.500

***

Below is a relaxed structure of Er4Al12Au, with properties calculated at the PBE level.

Computed properties:
Formation enthalpy at 0 K = -0.464 eV/atom

a b c (Å): 7.493 7.493 7.493
angles (deg): 109.47 109.47 109.47
Positions (direct):
Er 0.000 0.000 0.500
Er 0.500 0.000 0.000
Er 0.500 0.500 0.500
Er 0.000 0.500 0.000
Al 0.000 0.301 0.301
Al 0.000 0.699 0.699
Al 0.699 0.699 0.000
Al 0.301 0.301 0.000
Al 0.301 0.000 0.301
Al 0.699 0.000 0.699
Al 0.500 0.250 0.750
Al 0.500 0.750 0.250
Al 0.750 0.250 0.500
Al 0.250 0.750 0.500
Al 0.750 0.500 0.250
Al 0.250 0.500 0.750
Au 0.000 0.000 0.000

***

Below is a relaxed structure of TbPrErMg, with properties calculated at the PBE level.

Computed properties:
Relative energy among the computed polymorphs = 0.053 eV per atom
Formation enthalpy at 0 K = 0.027 eV/atom

a b c (Å): 5.563 5.563 5.563
angles (deg): 60.00 60.00 60.00
Positions (direct):
Pr 0.750 0.750 0.750
Mg 0.000 0.000 0.000
Tb 0.250 0.250 0.250
Er 0.500 0.500 0.500

***

Below is a relaxed structure of Sr2CeTiO6, with properties calculated at the PBE level.

Computed properties:
Relative energy among the computed polymorphs = 0.000 eV per atom
Uncorrected formation energy = -31.26 eV/f.u.

a b c (Å): 5.835 5.897 8.276
angles (deg): 90.00 90.39 90.00
Positions (direct):
Sr 0.009 0.965 0.249
Sr 0.509 0.535 0.749
Sr 0.991 0.035 0.751
Sr 0.491 0.465 0.251
Ce 0.500 0.000 0.000
Ce 0.000 0.500 0.500
Ti 0.500 0.000 0.500
Ti 0.000 0.500 0.000
O 0.270 0.700 0.041
O 0.770 0.800 0.541
O 0.730 0.300 0.959
O 0.230 0.200 0.459
O 0.303 0.728 0.457
O 0.803 0.772 0.957
O 0.697 0.272 0.543
O 0.197 0.228 0.043
O 0.922 0.521 0.234
O 0.422 0.979 0.734
O 0.078 0.479 0.766
O 0.578 0.021 0.266

***

Below is a relaxed structure of Rb3CaTc2O9, with properties calculated at the PBE level.

Computed properties:
Uncorrected formation energy = -25.46 eV/f.u.

a b c (Å): 5.856 5.856 7.291
angles (deg): 90.00 90.00 120.00
Positions (direct):
Rb 0.333 0.667 0.670
Rb 0.000 0.000 0.000
Rb 0.667 0.333 0.330
Ca 0.000 0.000 0.500
Tc 0.333 0.667 0.163
Tc 0.667 0.333 0.837
O 0.818 0.182 0.697
O 0.818 0.636 0.697
O 0.364 0.182 0.697
O 0.636 0.818 0.303
O 0.182 0.364 0.303
O 0.182 0.818 0.303
O 0.500 0.000 0.000
O 0.000 0.500 0.000
O 0.500 0.500 0.000

***

Below is a relaxed structure of NpMnRh, with properties calculated at the PBE level.

Computed properties:
Relative energy among the computed polymorphs = 0.181 eV per atom
Formation enthalpy at 0 K = 0.191 eV/atom

a b c (Å): 3.623 3.623 9.463
angles (deg): 78.96 78.96 60.00
Site moments in Bohr magnetons follow the coordinates.
Positions (direct):
Rh 0.301 0.301 0.097  -0.29
Rh 0.699 0.699 0.903  -0.29
Mn 0.154 0.154 0.538  -0.35
Mn 0.846 0.846 0.462  -0.35
Np 0.425 0.425 0.725  3.03
Np 0.575 0.575 0.275  3.03

***

no.,M_tot (μB per atom)
1,0.00
2,0.00
3,0.00
4,0.00
5,0.00
6,0.04
7,0.10
8,0.00
9,0.00
10,0.00
11,0.00
12,0.59
13,0.01
14,0.07
15,0.00
16,0.00
17,0.00
18,0.00
19,0.00
20,0.86